Record 1
# PBE-GGA Be3In5, optimized geometry
# ΔE_f   3.74 eV/f.u.
# Polymorph energy (0 for the lowest one)   166 meV per atom
# Volume   21.9 A^3/atom
# E_tot   -0.09707 hartree per atom
# Total magnetization   0.0000 μB/atom
data_Be3In5
_space_group_name_H-M_alt 'C m m m'
_space_group_IT_number 65
_space_group_name_Hall '-C 2 2'
_cell_length_a 8.899
_cell_length_b 9.741
_cell_length_c 4.035
_cell_angle_alpha 90.00
_cell_angle_beta 90.00
_cell_angle_gamma 90.00
loop_
_atom_site_label
_atom_site_type_symbol
_atom_site_fract_x
_atom_site_fract_y
_atom_site_fract_z
Be1 Be 0.000 0.000 0.000
Be2 Be 0.000 0.110 0.500
In1 In 0.000 0.500 0.000
In2 In 0.242 0.500 0.500
In3 In 0.250 0.250 0.000

=====

Record 2
# PBE-GGA Ce2CuGePt6, optimized geometry
# ΔE_f   -6.93 eV/f.u.
# Volume   20.8 A^3/atom
# E_tot   -0.23431 hartree per atom
# Total magnetization   0.1176 μB/atom
data_Ce2CuGePt6
_space_group_name_H-M_alt 'R -3 m'
_space_group_IT_number 166
_space_group_name_Hall '-R 3 2"'
_cell_length_a 5.5669
_cell_length_b 5.5669
_cell_length_c 23.3013
_cell_angle_alpha 90.00
_cell_angle_beta 90.00
_cell_angle_gamma 120.00
loop_
_atom_site_label
_atom_site_type_symbol
_atom_site_fract_x
_atom_site_fract_y
_atom_site_fract_z
Ce1 Ce 0.0000 0.0000 0.2022
Cu1 Cu 0.0000 0.0000 0.5000
Ge1 Ge 0.0000 0.0000 0.0000
Pt1 Pt 0.0052 0.5026 0.2521